[1]
DFT (PBE) results for a geometry-optimized ScPS2F structure.

abc: 4.723 4.723 3.812
angles: 90.00 90.00 90.00
Atoms (fractional coordinates):
Sc 0.500 0.500 0.500
P 0.000 0.000 0.500
S 0.000 0.500 0.000
S 0.500 0.000 0.000
F 0.000 0.000 0.000

The formation energy from raw total energies is -165 meV per atom. The calculated volume is 85.05 Å³ per cell. The calculation puts the density of states at the Fermi level at 2.1 states/eV/cell. For the energy relative to the lowest polymorph listed for this composition, the calculation gives 0.0000 eV/atom.



[2]
DFT (PBE) results for a geometry-optimized ScP2SF structure.

abc: 4.967 4.967 4.741
angles: 90.00 90.00 90.00
Atoms (fractional coordinates):
Sc 0.000 0.000 0.000
P 0.000 0.500 0.000
P 0.500 0.000 0.000
S 0.000 0.000 0.500
F 0.500 0.500 0.500

The formation energy from raw total energies is 169 meV per atom. The calculated volume is 116.96 Å³ per cell. The calculation puts the density of states at the Fermi level at 2.4 states/eV/cell. For the energy relative to the lowest polymorph listed for this composition, the calculation gives 0.3448 eV/atom.



> Number 1 is which compound?

ScPS2F



> calculated volume of number 2 (ScP2SF)?

116.96 Å³ per cell